[1]
CdIn4Sn | PBE | optimized geometry

Geometry as extended XYZ:
```
6
Lattice="5.2591 -2.1934 0.0000 5.2591 2.1934 0.0000 -1.6108 0.0000 6.9235" Properties=species:S:1:pos:R:3 pbc="T T T"
Cd 0.0000 0.0000 0.0000
In 2.4113 0.0000 4.6548
In 3.2973 0.0000 1.1216
In 5.6101 0.0000 5.8019
In 6.4960 0.0000 2.2687
Sn -0.8054 0.0000 3.4617
```

Summary:
Density of states at the Fermi level: 2.26 states/eV/cell
SG: C2/m (12)
Calculated density: 7.2 g/cm3
Total DFT energy (no corrections): -0.19214 Ry per atom
Energy of formation from the pure elements: 31 meV/atom

***

[2]
Cd6In3Sn | PBE | optimized geometry

Geometry as extended XYZ:
```
20
Lattice="5.0275 -8.7448 0.0000 5.0275 8.7448 0.0000 0.0000 0.0000 5.7704" Properties=species:S:1:pos:R:3 pbc="T T T"
Cd 2.4321 3.7314 0.6326
Cd 5.0275 7.7141 2.8852
Cd 3.2605 0.9728 5.3278
Cd 5.0275 3.4217 4.6565
Cd 3.2605 -0.9728 2.4426
Cd 2.4321 -3.7314 3.5178
Cd 7.6229 3.7314 0.6326
Cd 6.7944 0.9728 5.3278
Cd 5.0275 -3.4217 1.7713
Cd 6.7944 -0.9728 2.4426
Cd 5.0275 -7.7141 0.0000
Cd 7.6229 -3.7314 3.5178
In 1.6431 1.6760 2.7551
In 1.6431 -1.6760 5.6403
In 5.0275 1.5999 2.1533
In 5.0275 -1.5999 5.0385
In 8.4118 1.6760 2.7551
In 8.4118 -1.6760 5.6403
Sn 5.0275 4.8821 1.7192
Sn 5.0275 -4.8821 4.6044
```

Summary:
Density of states at the Fermi level: 4.61 states/eV/cell
SG: Cmc2_1 (36)
Calculated density: 7.4 g/cm3
Total DFT energy (no corrections): -0.12690 Ry per atom
Energy of formation from the pure elements: 44 meV/atom

***

The highest total DFT energy (no corrections) belongs to which entry? Cd6In3Sn

***

Number 2 is which compound? Cd6In3Sn